# 1
Computed, not measured: an optimized crystal structure of Tb2Dy3Tl3 at the PBE level of DFT.

Lattice parameters (Å, degrees): 10.9016 10.9016 10.9016 156.78 153.65 35.41
Closest atoms and distances in Å follow each position.
Positions (direct):
Tb 0.2372 0.2372 0.0000  2 Tl 3.19, 4 Tb 3.36, 2 Dy 3.50
Tb 0.7628 0.7628 0.0000  2 Tl 3.19, 4 Tb 3.36, 2 Dy 3.50
Dy 0.0000 0.0000 0.0000  8 Tl 3.31-3.41, 4 Dy 3.50
Dy 0.3812 0.8812 0.5000  6 Tl 3.30-3.32, 2 Tb 3.50, 2 Dy 3.50
Dy 0.6188 0.1188 0.5000  6 Tl 3.30-3.32, 2 Tb 3.50, 2 Dy 3.50
Tl 0.1258 0.6258 0.5000  2 Tb 3.19, 6 Dy 3.32-3.41
Tl 0.5000 0.5000 0.0000  8 Dy 3.30-3.31, 4 Tl 3.61
Tl 0.8742 0.3742 0.5000  2 Tb 3.19, 6 Dy 3.32-3.41

Calculated values
Formation energy from the elements: -250 meV per atom

=====

# 2
Computed, not measured: an optimized crystal structure of NpNiAsP at the PBE level of DFT.

Lattice parameters (Å, degrees): 5.4696 5.4696 5.4696 139.70 137.25 60.19
Closest atoms and distances in Å follow each position.
Positions (direct):
Np 0.0000 0.0000 0.0000  4 P 2.95, 4 Ni 2.99-3.14, 4 As 3.05
Ni 0.7349 0.2349 0.5000  2 P 2.20, 2 As 2.31
As 0.3592 0.3592 0.0000  2 Ni 2.31, 1 P 2.42
P 0.6149 0.6149 0.0000  2 Ni 2.20, 1 As 2.42

Calculated values
Formation energy from the elements: -593 meV per atom

=====

# 3
Computed, not measured: an optimized crystal structure of Ag2WCl at the PBE level of DFT.

Lattice parameters (Å, degrees): 5.2387 5.2387 2.7356 90.00 90.00 90.00
Closest atoms and distances in Å follow each position.
Positions (direct):
Ag 0.0000 0.5000 0.0000  2 Ag 2.74, 4 Cl 2.95, 4 W 2.95
Ag 0.5000 0.0000 0.0000  2 Ag 2.74, 4 Cl 2.95, 4 W 2.95
W 0.0000 0.0000 0.5000  2 W 2.74, 8 Ag 2.95
Cl 0.5000 0.5000 0.5000  2 Cl 2.74, 8 Ag 2.95

=====

# 4
Computed, not measured: an optimized crystal structure of Sc2Cd2Sn at the PBE level of DFT.

Lattice parameters (Å, degrees): 7.3298 7.3298 4.3237 90.00 90.00 90.00
Closest atoms and distances in Å follow each position.
Positions (direct):
Sc 0.1664 0.3336 0.0000  6 Cd 3.01-3.09
Sc 0.3336 0.8336 0.0000  6 Cd 3.01-3.09
Sc 0.6664 0.1664 0.0000  6 Cd 3.01-3.09
Sc 0.8336 0.6664 0.0000  6 Cd 3.01-3.09
Cd 0.1319 0.6319 0.5000  1 Cd 2.73, 2 Sn 2.87, 2 Sc 3.01
Cd 0.3681 0.1319 0.5000  1 Cd 2.73, 2 Sn 2.87, 2 Sc 3.01
Cd 0.6319 0.8681 0.5000  1 Cd 2.73, 2 Sn 2.87, 2 Sc 3.01
Cd 0.8681 0.3681 0.5000  1 Cd 2.73, 2 Sn 2.87, 2 Sc 3.01
Sn 0.0000 0.0000 0.5000  4 Cd 2.87
Sn 0.5000 0.5000 0.5000  4 Cd 2.87

Calculated values
Formation energy from the elements: -238 meV per atom

=====

# 5
Computed, not measured: an optimized crystal structure of Na2InSnH at the PBE level of DFT.

Lattice parameters (Å, degrees): 4.7407 4.7407 4.7209 90.00 90.00 90.00
Closest atoms and distances in Å follow each position.
Positions (direct):
Na 0.0000 0.5000 0.0000  2 H 2.37
Na 0.5000 0.0000 0.0000  2 H 2.37
In 0.0000 0.0000 0.5000  8 Na 3.35, 4 Sn 3.35
Sn 0.5000 0.5000 0.5000  2 H 2.36
H 0.5000 0.5000 0.0000  2 Sn 2.36, 4 Na 2.37

=====

# 6
Computed, not measured: an optimized crystal structure of Er2TmScO6 at the PBE level of DFT.

Lattice parameters (Å, degrees): 5.9127 5.9127 5.9127 57.00 57.00 57.00
Closest atoms and distances in Å follow each position.
Positions (direct):
Er 0.0000 0.0000 0.0000  6 O 2.23-2.33
Er 0.4984 0.4984 0.4984  6 O 2.21-2.34
Tm 0.2820 0.2820 0.2820  6 O 2.18-2.32
Sc 0.7855 0.7855 0.7855  6 O 2.11-2.22
O 0.0782 0.4123 0.6780  1 Sc 2.11, 2 Er 2.23-2.34, 1 Tm 2.32
O 0.1713 0.8963 0.5942  1 Tm 2.18, 2 Er 2.21-2.33, 1 Sc 2.22
O 0.4122 0.6780 0.0782  1 Sc 2.11, 2 Er 2.23-2.34, 1 Tm 2.32
O 0.5942 0.1713 0.8963  1 Tm 2.18, 2 Er 2.21-2.33, 1 Sc 2.22
O 0.6780 0.0782 0.4122  1 Sc 2.11, 2 Er 2.23-2.34, 1 Tm 2.32
O 0.8963 0.5942 0.1713  1 Tm 2.18, 2 Er 2.21-2.33, 1 Sc 2.22

=====

# 7
Computed, not measured: an optimized crystal structure of K2PrHg2Se4 at the PBE level of DFT.

Lattice parameters (Å, degrees): 8.5880 8.5880 8.3836 112.81 112.81 28.95
Closest atoms and distances in Å follow each position.
Positions (direct):
K 0.1260 0.1260 0.0674  7 Se 3.37-3.61, 1 Hg 3.56
K 0.8740 0.8740 0.9326  7 Se 3.37-3.61, 1 Hg 3.56
Pr 0.0000 0.0000 0.5000  6 Se 3.03
Hg 0.3095 0.3095 0.4764  3 Se 2.75-2.79, 2 Hg 3.05
Hg 0.6905 0.6905 0.5236  3 Se 2.75-2.79, 2 Hg 3.05
Se 0.1935 0.1935 0.7384  2 Hg 2.79, 1 Pr 3.03
Se 0.4769 0.4769 0.7325  1 Hg 2.75, 2 Pr 3.03
Se 0.5231 0.5231 0.2675  1 Hg 2.75, 2 Pr 3.03
Se 0.8065 0.8065 0.2616  2 Hg 2.79, 1 Pr 3.03

=====

no.,Fermi-level density of states (states/eV/f.u.),calculated total energy (eV per atom)
1,7.79,-4.021
2,8.56,-7.788
3,3.67,-4.145
4,2.21,-3.937
5,1.43,-2.575
6,0.00,-8.541
7,3.75,-3.361